Material: Ba3PrFe2O9
Method: DFT, GGA+U
State: relaxed

a b c (Å): 5.9000 5.9000 7.3493
angles (deg): 90.00 90.00 120.00
Space group P-3m1 (No. 164)
Symmetry-distinct sites (fractional):
Ba 0.0000 0.0000 0.0000
Ba 0.3333 0.6667 0.6914
Pr 0.0000 0.0000 0.5000
Fe 0.3333 0.6667 0.1604
O 0.0000 0.5000 0.0000
O 0.1791 0.3581 0.3081

Results
- Total DFT energy (no corrections): -6.514 eV per atom
- V: 14.8 Å³ per atom
- Spin magnetization: 7.4 μB per formula unit